Compound: Sm8Cu2Hg
Source: Alexandria via LeMat-Bulk
Functional: PBE-GGA
Structure: optimized geometry

The formation energy comes out at -0.0340 eV/atom. The excess energy over the best structure of this formula in the dataset is 90.3 meV/atom. For the density of states at the Fermi level, the calculation gives 16.81 states/eV/f.u.

The structure belongs to space group Cm (No. 8); the cell edges are 8.733, 13.705 and 5.555 Å and the angles 90.00°, 106.93° and 90.00°. The distinct sites, in fractional coordinates, are Sm at (0.000, 0.000, 0.000), Sm at (0.097, 0.376, 0.777), Sm at (0.188, 0.124, 0.607), Sm at (0.284, 0.500, 0.383), Sm at (0.393, 0.239, 0.192), Cu at (0.392, 0.308, 0.691) and Hg at (0.392, 0.000, 0.192).

Compound: Ta3Ga
Source: Alexandria via LeMat-Bulk
Functional: PBE-GGA
Structure: optimized geometry

The formation energy comes out at -0.1396 eV/atom. For the density of states at the Fermi level, the calculation gives 2.12 states/eV/f.u.

The structure belongs to space group Cmcm (No. 63); the cell edges are 6.228, 9.549 and 4.686 Å and the angles 90.00°, 90.00° and 90.00°. The distinct sites, in fractional coordinates, are Ta at (0.000, 0.133, 0.250), Ta at (0.239, 0.392, 0.250) and Ga at (0.000, 0.343, 0.750).

Compound: PPdAuO2
Source: Alexandria via LeMat-Bulk
Functional: PBE-GGA
Structure: optimized geometry

As for the energy relative to the elements, uncorrected: 0.717 eV/atom. The excess energy over the best structure of this formula in the dataset is 363.7 meV/atom. For the density of states at the Fermi level, the calculation gives 4.72 states/eV/f.u.

The structure belongs to space group P4/mmm (No. 123); the cell edges are 3.888, 3.888 and 5.327 Å and the angles 90.00°, 90.00° and 90.00°. The distinct sites, in fractional coordinates, are P at (0.000, 0.000, 0.000), Pd at (0.500, 0.500, 0.000), Au at (0.000, 0.000, 0.500) and O at (0.000, 0.500, 0.500).

Compound: Mn2SnHPt
Source: Alexandria via LeMat-Bulk
Functional: PBE-GGA
Structure: optimized geometry

The excess energy over the best structure of this formula in the dataset is 0.0 meV/atom. For the density of states at the Fermi level, the calculation gives 2.81 states/eV/f.u.

The structure belongs to space group P4/mmm (No. 123); the cell edges are 3.992, 3.992 and 4.004 Å and the angles 90.00°, 90.00° and 90.00°. The distinct sites, in fractional coordinates, are Mn at (0.000, 0.500, 0.000), Sn at (0.000, 0.000, 0.500), H at (0.500, 0.500, 0.000) and Pt at (0.500, 0.500, 0.500).

Compound: Tb3Pm3Nd4
Source: Alexandria via LeMat-Bulk
Functional: PBE-GGA
Structure: optimized geometry

The formation energy comes out at 0.0969 eV/atom. For the density of states at the Fermi level, the calculation gives 11.13 states/eV/f.u.

The structure belongs to space group Amm2 (No. 38); the cell edges are 3.850, 13.421 and 13.380 Å and the angles 90.00°, 90.00° and 90.00°. The distinct sites, in fractional coordinates, are Tb at (0.000, 0.000, 0.000), Tb at (0.000, 0.169, 0.670), Pm at (0.000, 0.000, 0.339), Pm at (0.500, 0.248, 0.920), Nd at (0.500, 0.000, 0.541), Nd at (0.500, 0.000, 0.799) and Nd at (0.500, 0.130, 0.169).

Compound: Mg2In2BIr4
Source: Alexandria via LeMat-Bulk
Functional: PBE-GGA
Structure: optimized geometry

The formation energy comes out at -0.3141 eV/atom. For the density of states at the Fermi level, the calculation gives 1.88 states/eV/f.u.

The structure belongs to space group I4/mmm (No. 139); the cell edges are 5.957, 5.957 and 7.921 Å and the angles 90.00°, 90.00° and 90.00°. The distinct sites, in fractional coordinates, are Mg at (0.000, 0.000, 0.209), In at (0.000, 0.500, 0.250), B at (0.000, 0.000, 0.500) and Ir at (0.245, 0.245, 0.500).

Compound: PPdSO2
Source: Alexandria via LeMat-Bulk
Functional: PBE-GGA
Structure: optimized geometry

As for the energy relative to the elements, uncorrected: 0.450 eV/atom. For the density of states at the Fermi level, the calculation gives 3.70 states/eV/f.u.

The structure belongs to space group P4/mmm (No. 123); the cell edges are 3.763, 3.763 and 5.524 Å and the angles 90.00°, 90.00° and 90.00°. The distinct sites, in fractional coordinates, are P at (0.000, 0.000, 0.000), Pd at (0.000, 0.000, 0.500), S at (0.500, 0.500, 0.000) and O at (0.000, 0.500, 0.500).

Compound: NiAgHPb2
Source: Alexandria via LeMat-Bulk
Functional: PBE-GGA
Structure: optimized geometry

For the final energy, the calculation gives -3.681 eV per atom. For the density of states at the Fermi level, the calculation gives 1.88 states/eV/f.u.

The structure belongs to space group P4/mmm (No. 123); the cell edges are 5.462, 5.462 and 3.229 Å and the angles 90.00°, 90.00° and 90.00°. The distinct sites, in fractional coordinates, are Ni at (0.000, 0.000, 0.000), Ag at (0.500, 0.500, 0.500), H at (0.000, 0.000, 0.500) and Pb at (0.000, 0.500, 0.000).

Compound: TbCeSN
Source: Alexandria via LeMat-Bulk
Functional: PBE-GGA
Structure: optimized geometry

As for the energy relative to the elements, uncorrected: -1.786 eV/atom. For the density of states at the Fermi level, the calculation gives 3.75 states/eV/f.u.

The structure belongs to space group R3m (No. 160, hexagonal axes); the cell edges are 3.6883, 3.6883 and 19.0777 Å and the angles 90.00°, 90.00° and 120.00°. The distinct sites, in fractional coordinates, are Tb at (0.0000, 0.0000, 0.0000), Ce at (0.0000, 0.0000, 0.5256), S at (0.0000, 0.0000, 0.7600) and N at (0.0000, 0.0000, 0.2642).

Compound: CaMgTe
Source: Alexandria via LeMat-Bulk
Functional: PBE-GGA
Structure: optimized geometry

As for the energy relative to the elements, uncorrected: -0.420 eV/atom. The excess energy over the best structure of this formula in the dataset is 313.6 meV/atom. For the density of states at the Fermi level, the calculation gives 3.71 states/eV/f.u.

The structure belongs to space group F-43m (No. 216); the cell edges are 7.474, 7.474 and 7.474 Å and the angles 90.00°, 90.00° and 90.00°. The distinct sites, in fractional coordinates, are Ca at (0.000, 0.000, 0.000), Mg at (0.000, 0.000, 0.500) and Te at (0.250, 0.250, 0.750).

Compound: Sm4RhAu3
Source: Alexandria via LeMat-Bulk
Functional: PBE-GGA
Structure: optimized geometry

The formation energy comes out at -0.8217 eV/atom. For the density of states at the Fermi level, the calculation gives 5.77 states/eV/f.u.

The structure belongs to space group Pmm2 (No. 25); the cell edges are 3.849, 4.701 and 10.965 Å and the angles 90.00°, 90.00° and 90.00°. The distinct sites, in fractional coordinates, are Sm at (0.000, 0.000, 0.000), Sm at (0.000, 0.500, 0.262), Sm at (0.500, 0.000, 0.472), Sm at (0.500, 0.500, 0.765), Rh at (0.500, 0.000, 0.214), Au at (0.000, 0.000, 0.713), Au at (0.000, 0.500, 0.539) and Au at (0.500, 0.500, 0.042).

Compound: BeSbPt2
Source: Alexandria via LeMat-Bulk
Functional: PBE-GGA
Structure: optimized geometry

As for the energy relative to the elements, uncorrected: 0.071 eV/atom. The excess energy over the best structure of this formula in the dataset is 477.3 meV/atom. For the density of states at the Fermi level, the calculation gives 1.16 states/eV/f.u.

The structure belongs to space group F-43m (No. 216); the cell edges are 6.395, 6.395 and 6.395 Å and the angles 90.00°, 90.00° and 90.00°. The distinct sites, in fractional coordinates, are Be at (0.000, 0.000, 0.000), Sb at (0.250, 0.250, 0.250), Pt at (0.000, 0.000, 0.500) and Pt at (0.250, 0.250, 0.750).

Compound: Nd2ErCd
Source: Alexandria via LeMat-Bulk
Functional: PBE-GGA
Structure: optimized geometry

The formation energy comes out at -0.0471 eV/atom. The excess energy over the best structure of this formula in the dataset is 98.3 meV/atom. For the density of states at the Fermi level, the calculation gives 4.23 states/eV/f.u.

The structure belongs to space group R-3m (No. 166, hexagonal axes); the cell edges are 3.6219, 3.6219 and 33.2860 Å and the angles 90.00°, 90.00° and 120.00°. The distinct sites, in fractional coordinates, are Nd at (0.0000, 0.0000, 0.2461), Er at (0.0000, 0.0000, 0.0000) and Cd at (0.0000, 0.0000, 0.5000).

Quick rundown of M_tot, same order as above: 0.0, 0.0, 1.4, 5.6, 0.0, 0.0, 2.1, 0.0, 0.4, 0.0, 0.0, 0.0, 0.0 μB/f.u.